Here is a relaxed structure of MgZn2Si2Pd5 from the Alexandria database. Energies are from PBE.

a b c (Å): 3.5730 9.3357 9.3357
angles (deg): 90.00 90.00 90.00
Fractional positions:
Pd 0.5000 0.8019 0.9089
Pd 0.5000 0.3019 0.5911
Pd 0.5000 0.9089 0.1981
Pd 0.5000 0.6981 0.4089
Pd 0.5000 0.5911 0.6981
Pd 0.5000 0.0911 0.8019
Pd 0.5000 0.0000 0.5000
Pd 0.5000 0.1981 0.0911
Pd 0.5000 0.4089 0.3019
Pd 0.5000 0.5000 0.0000
Si 0.0000 0.3687 0.1313
Si 0.0000 0.6313 0.8687
Si 0.0000 0.8687 0.3687
Si 0.0000 0.1313 0.6313
Zn 0.0000 0.3316 0.8316
Zn 0.0000 0.8316 0.6684
Zn 0.0000 0.6684 0.1684
Zn 0.0000 0.1684 0.3316
Mg 0.0000 0.5000 0.5000
Mg 0.0000 0.0000 0.0000

Calculated values
Total magnetization, μB/f.u.: 0.0
E_tot, eV per atom: -4.5191
Symmetry: P4/mbm (127)
E_form (uncorrected), eV/f.u.: -4.24

Here is a relaxed structure of La6NdTh from the Alexandria database. Energies are from PBE.

a b c (Å): 5.2093 5.2093 10.4539
angles (deg): 90.00 90.00 90.00
Fractional positions:
La 0.5000 0.5000 0.0000
La 0.0000 0.5000 0.7432
La 0.5000 0.0000 0.7432
La 0.0000 0.5000 0.2568
La 0.5000 0.5000 0.5000
La 0.5000 0.0000 0.2568
Nd 0.0000 0.0000 0.0000
Th 0.0000 0.0000 0.5000

Calculated values
Total magnetization, μB/f.u.: 0.0
Energy relative to the elements, meV/atom: 21
E_tot, eV per atom: -5.1976
Symmetry: P4/mmm (123)

Here is a relaxed structure of HoPbI2 from the Alexandria database. Energies are from PBE.

a b c (Å): 3.9479 3.9479 11.5030
angles (deg): 80.12 80.12 60.00
Fractional positions:
Pb 0.5000 0.5000 0.5000
I 0.0865 0.0865 0.7404
I 0.9135 0.9135 0.2596
Ho 0.0000 0.0000 0.0000

Calculated values
Total magnetization, μB/f.u.: 0.0
E_tot, eV per atom: -3.1299
Symmetry: R-3m (166)
E_form (uncorrected), eV/f.u.: -1.13

Here is a relaxed structure of BaBe2AgCl8 from the Alexandria database. Energies are from PBE.

a b c (Å): 6.0586 6.0586 9.5209
angles (deg): 71.45 71.45 60.00
Each line ends with the local moment (μB).
Fractional positions:
Cl 0.9463 0.5843 0.1805  0.09
Cl 0.1743 0.1743 0.4770  0.02
Cl 0.4157 0.7111 0.8195  0.09
Cl 0.0537 0.4157 0.8195  0.09
Cl 0.7111 0.0537 0.8195  0.09
Cl 0.5843 0.2889 0.1805  0.09
Cl 0.8257 0.8257 0.5230  0.02
Cl 0.2889 0.9463 0.1805  0.09
Ag 0.0000 0.0000 0.0000  0.31
Be 0.2507 0.2507 0.2479  0.00
Be 0.7493 0.7493 0.7521  0.00
Ba 0.5000 0.5000 0.5000  0.00

Calculated values
Total magnetization, μB/f.u.: 1.0
E_tot, eV per atom: -3.6212
Symmetry: R-3 (148)
E_form (uncorrected), eV/f.u.: -16.46

Here is a relaxed structure of Pm2Dy3ErTm6 from the Alexandria database. Energies are from PBE.

a b c (Å): 6.1130 6.1130 11.6595
angles (deg): 95.00 95.00 119.96
Fractional positions:
Tm 0.4171 0.0842 0.2516
Tm 0.0842 0.4171 0.2516
Tm 0.2484 0.2484 0.7481
Tm 0.5829 0.9158 0.7484
Tm 0.9158 0.5829 0.7484
Tm 0.7516 0.7516 0.2519
Dy 0.5000 0.5000 0.5000
Dy 0.1665 0.8335 0.5000
Dy 0.8335 0.1665 0.5000
Pm 0.3334 0.6666 0.0000
Pm 0.6666 0.3334 0.0000
Er 0.0000 0.0000 0.0000

Calculated values
Total magnetization, μB/f.u.: 0.0
Energy relative to the elements, meV/atom: 21
E_tot, eV per atom: -4.5370
Symmetry: C2/m (12)

Here is a relaxed structure of Ta2Mn2Co5Si from the Alexandria database. Energies are from PBE.

a b c (Å): 3.5505 8.3947 8.3947
angles (deg): 90.00 90.00 90.00
Each line ends with the local moment (μB).
Fractional positions:
Mn 0.0000 0.3756 0.1244  1.62
Mn 0.0000 0.8756 0.3756  1.62
Mn 0.0000 0.1244 0.6244  1.62
Mn 0.0000 0.6244 0.8756  1.62
Co 0.5000 0.0000 0.5000  0.21
Co 0.5000 0.4374 0.2971  0.43
Co 0.5000 0.5000 0.0000  0.21
Co 0.5000 0.5626 0.7029  0.43
Co 0.5000 0.7029 0.4374  0.43
Co 0.5000 0.2971 0.5626  0.43
Co 0.5000 0.0626 0.7971  0.43
Co 0.5000 0.7971 0.9374  0.43
Co 0.5000 0.2029 0.0626  0.43
Co 0.5000 0.9374 0.2029  0.43
Ta 0.0000 0.6751 0.1751  -0.22
Ta 0.0000 0.8249 0.6751  -0.22
Ta 0.0000 0.1751 0.3249  -0.22
Ta 0.0000 0.3249 0.8249  -0.22
Si 0.0000 0.5000 0.5000  0.02
Si 0.0000 0.0000 0.0000  0.02

Calculated values
Total magnetization, μB/f.u.: 4.7
E_tot, eV per atom: -8.3511
Symmetry: P4/mbm (127)
E_form (uncorrected), eV/f.u.: -0.51

Here is a relaxed structure of Ac2B12IrRu3 from the Alexandria database. Energies are from PBE.

a b c (Å): 9.6103 9.6103 9.6103
angles (deg): 31.46 31.46 31.46
Each line ends with the local moment (μB).
Fractional positions:
B 0.4238 0.4238 0.8036  0.00
B 0.8036 0.4238 0.4238  0.00
B 0.8662 0.5227 0.8662  0.00
B 0.5762 0.5762 0.1964  0.00
B 0.5227 0.8662 0.8662  0.00
B 0.4773 0.1338 0.1338  0.00
B 0.1338 0.4773 0.1338  0.00
B 0.8662 0.8662 0.5227  0.00
B 0.4238 0.8036 0.4238  0.00
B 0.1964 0.5762 0.5762  0.00
B 0.1338 0.1338 0.4773  0.00
B 0.5762 0.1964 0.5762  0.00
Ac 0.3569 0.3569 0.3569  0.01
Ac 0.6431 0.6431 0.6431  0.01
Ru 0.0000 0.5000 0.0000  0.25
Ru 0.5000 0.0000 0.0000  0.25
Ru 0.0000 0.0000 0.5000  0.25
Ir 0.0000 0.0000 0.0000  0.01

Calculated values
Total magnetization, μB/f.u.: 0.8
Energy relative to the elements, meV/atom: 378
E_tot, eV per atom: -6.5684
Symmetry: R-3m (166)

Here is a relaxed structure of Li2Zn6Co from the Alexandria database. Energies are from PBE.

a b c (Å): 2.5621 7.4887 7.4887
angles (deg): 120.00 90.00 90.00
Each line ends with the local moment (μB).
Fractional positions:
Li 0.5000 0.3333 0.6667  0.01
Li 0.5000 0.6667 0.3333  0.01
Zn 0.2229 0.3309 0.0000  0.01
Zn 0.2229 0.0000 0.3309  0.01
Zn 0.7771 0.6691 0.0000  0.01
Zn 0.7771 0.3309 0.3309  0.01
Zn 0.7771 0.0000 0.6691  0.01
Zn 0.2229 0.6691 0.6691  0.01
Co 0.0000 0.0000 0.0000  1.37

Calculated values
Total magnetization, μB/f.u.: 1.5
Energy relative to the elements, meV/atom: -39
E_tot, eV per atom: -2.1029
Symmetry: P-31m (162)

Here is a relaxed structure of Co2AsW from the Alexandria database. Energies are from PBE.

a b c (Å): 3.5017 2.7833 5.6020
angles (deg): 75.61 90.00 90.00
Fractional positions:
As 0.5000 0.5266 0.8211
Co 0.5000 0.3149 0.2455
Co 0.0000 0.9551 0.9642
W 0.0000 0.7034 0.4692

Calculated values
Total magnetization, μB/f.u.: 0.0
Energy relative to the elements, meV/atom: 62
E_tot, eV per atom: -7.8912
Symmetry: Amm2 (38)

Here is a relaxed structure of Cs2TlH6Rh from the Alexandria database. Energies are from PBE.

a b c (Å): 6.5937 6.2650 6.2650
angles (deg): 120.00 90.00 90.00
Fractional positions:
H 0.8508 0.1266 0.8734
H 0.8508 0.7469 0.8734
H 0.1492 0.2531 0.1266
H 0.8508 0.1266 0.2531
H 0.1492 0.8734 0.1266
H 0.1492 0.8734 0.7469
Rh 0.0000 0.0000 0.0000
Cs 0.1683 0.3333 0.6667
Cs 0.8317 0.6667 0.3333
Tl 0.5000 0.0000 0.0000

Calculated values
Total magnetization, μB/f.u.: 0.0
E_tot, eV per atom: -3.3081
Symmetry: P-3m1 (164)

Here is a relaxed structure of Sr3Rh3Pb from the Alexandria database. Energies are from PBE.

a b c (Å): 4.5319 6.0491 14.2855
angles (deg): 90.00 90.00 112.00
Fractional positions:
Sr 0.7873 0.5746 0.1092
Sr 0.7873 0.5746 0.3908
Sr 0.2127 0.4254 0.8908
Sr 0.4955 0.9910 0.7500
Sr 0.2127 0.4254 0.6092
Sr 0.5045 0.0090 0.2500
Rh 0.9247 0.8494 0.5929
Rh 0.1979 0.3959 0.2500
Rh 0.9247 0.8494 0.9071
Rh 0.0753 0.1506 0.4071
Rh 0.0753 0.1506 0.0929
Rh 0.8021 0.6041 0.7500
Pb 0.5000 0.0000 0.0000
Pb 0.5000 0.0000 0.5000

Calculated values
Total magnetization, μB/f.u.: 0.0
Energy relative to the elements, meV/atom: -352
E_tot, eV per atom: -4.7528
Symmetry: Cmcm (63)

Here is a relaxed structure of AcDyHoCd from the Alexandria database. Energies are from PBE.

a b c (Å): 5.6085 5.6085 5.6085
angles (deg): 60.00 60.00 60.00
Fractional positions:
Ac 0.2500 0.2500 0.2500
Dy 0.0000 0.0000 0.0000
Ho 0.5000 0.5000 0.5000
Cd 0.7500 0.7500 0.7500

Calculated values
Total magnetization, μB/f.u.: 0.0
Energy relative to the elements, meV/atom: 91
E_tot, eV per atom: -3.4594
Symmetry: F-43m (216)

Please write out number 4 again, unchanged.
Here is a relaxed structure of BaBe2AgCl8 from the Alexandria database. Energies are from PBE.

a b c (Å): 6.0586 6.0586 9.5209
angles (deg): 71.45 71.45 60.00
Each line ends with the local moment (μB).
Fractional positions:
Cl 0.9463 0.5843 0.1805  0.09
Cl 0.1743 0.1743 0.4770  0.02
Cl 0.4157 0.7111 0.8195  0.09
Cl 0.0537 0.4157 0.8195  0.09
Cl 0.7111 0.0537 0.8195  0.09
Cl 0.5843 0.2889 0.1805  0.09
Cl 0.8257 0.8257 0.5230  0.02
Cl 0.2889 0.9463 0.1805  0.09
Ag 0.0000 0.0000 0.0000  0.31
Be 0.2507 0.2507 0.2479  0.00
Be 0.7493 0.7493 0.7521  0.00
Ba 0.5000 0.5000 0.5000  0.00

Calculated values
Total magnetization, μB/f.u.: 1.0
E_tot, eV per atom: -3.6212
Symmetry: R-3 (148)
E_form (uncorrected), eV/f.u.: -16.46